Computed, not measured: a relaxed structure of Pr2OsO8 at the PBE level of DFT.

Computed properties:
Calculated total energy, eV per atom: -7.04
N(E_F), states/eV/atom: 0.647

Cell lengths 3.7480, 4.9131, 8.2457 Å; angles 107.04, 103.14, 90.00 degrees
Fractional positions:
Pr: 0.8242 0.3280 0.6483
Pr: 0.1758 0.6720 0.3517
Os: 0.5000 0.0000 0.0000
O: 0.4282 0.5957 0.8564
O: 0.6006 0.9103 0.2011
O: 0.7670 0.7552 0.5339
O: 0.0347 0.2230 0.0695
O: 0.2330 0.2448 0.4661
O: 0.3994 0.0897 0.7989
O: 0.5718 0.4043 0.1436
O: 0.9653 0.7770 0.9305